Below is a geometry-optimized MnTe3Au structure, with properties calculated at the PBE level.

abc: 6.5453 6.4172 7.5469
angles: 90.00 90.00 122.18
Closest atoms and distances in Å follow each position.
Atoms (fractional coordinates):
Te1 0.1694 0.3661 0.5116  2 Mn 2.66-2.69, 2 Au 2.86-2.96
Te2 0.5425 0.9769 0.2500  1 Mn 2.54, 1 Au 2.72
Te3 0.8306 0.6339 0.4884  2 Mn 2.66-2.69, 2 Au 2.86-2.96
Te4 0.8306 0.6339 0.0116  2 Mn 2.66-2.69, 2 Au 2.86-2.96
Te5 0.1694 0.3661 0.9884  2 Mn 2.66-2.69, 2 Au 2.86-2.96
Te6 0.4575 0.0231 0.7500  1 Mn 2.54, 1 Au 2.72
Au1 0.1635 0.0409 0.2500  5 Te 2.72-2.96, 1 Mn 2.82
Au2 0.8365 0.9591 0.7500  5 Te 2.72-2.96, 1 Mn 2.82
Mn1 0.4920 0.5555 0.2500  5 Te 2.54-2.69, 1 Au 2.82
Mn2 0.5080 0.4445 0.7500  5 Te 2.54-2.69, 1 Au 2.82

## Properties
Formation energy from raw total energies ... 0.006 eV per atom
Excess energy over the best structure of this formula in the dataset ... 0.409 eV/f.u.



Below is a geometry-optimized MnTe4Au structure, with properties calculated at the PBE level.

abc: 4.0397 5.5396 7.4839
angles: 89.73 90.00 90.00
Closest atoms and distances in Å follow each position.
Atoms (fractional coordinates):
Te1 0.0000 0.7118 0.3816  2 Mn 2.73, 1 Te 2.93
Te2 0.5000 0.2204 0.1861  1 Mn 2.64, 2 Au 2.74
Te3 0.5000 0.7796 0.8139  1 Mn 2.64, 2 Au 2.74
Te4 0.0000 0.2882 0.6184  2 Mn 2.73, 1 Te 2.93
Au1 0.0000 0.0000 0.0000  4 Te 2.74
Mn1 0.5000 0.0000 0.5000  6 Te 2.64-2.73

## Properties
Formation energy from raw total energies ... -0.132 eV per atom
Excess energy over the best structure of this formula in the dataset ... 0.000 eV/f.u.



Below is a geometry-optimized MnTe6Au2 structure, with properties calculated at the PBE level.

abc: 7.1385 7.1385 6.8834
angles: 58.77 58.77 60.00
Closest atoms and distances in Å follow each position.
Atoms (fractional coordinates):
Te1 0.3866 0.0794 0.7793  1 Mn 2.74, 2 Au 2.86-2.90
Te2 0.0794 0.7547 0.7793  1 Mn 2.74, 2 Au 2.86-2.90
Te3 0.7547 0.3866 0.7793  1 Mn 2.74, 2 Au 2.86-2.90
Te4 0.2566 0.6063 0.2152  1 Mn 2.69, 2 Au 2.81-2.86
Te5 0.9219 0.2566 0.2152  1 Mn 2.69, 2 Au 2.81-2.86
Te6 0.6063 0.9219 0.2152  1 Mn 2.69, 2 Au 2.81-2.86
Mn1 0.3291 0.3291 0.0128  6 Te 2.69-2.74, 1 Au 2.89
Au1 0.5040 0.5040 0.4881  6 Te 2.81-2.90, 1 Mn 2.89
Au2 0.8272 0.8272 0.5185  6 Te 2.86

## Properties
Formation energy from raw total energies ... -0.017 eV per atom



Below is a geometry-optimized MnTe4Au structure, with properties calculated at the PBE level.

abc: 4.0096 7.2406 11.0602
angles: 90.73 90.00 90.00
Closest atoms and distances in Å follow each position.
Atoms (fractional coordinates):
Au1 0.0000 0.0000 0.0000  6 Te 2.73-2.97
Au2 0.5000 0.5000 0.5000  6 Te 2.73-2.97
Mn1 0.5000 0.5000 0.0000  6 Te 2.69-2.72
Mn2 0.0000 0.0000 0.5000  6 Te 2.68-2.72
Te1 0.0000 0.2986 0.6465  1 Mn 2.68, 2 Au 2.97
Te2 0.0000 0.3299 0.1216  2 Mn 2.72, 1 Au 2.73
Te3 0.5000 0.1701 0.3784  2 Mn 2.72, 1 Au 2.73
Te4 0.5000 0.7986 0.1465  1 Mn 2.69, 2 Au 2.97
Te5 0.0000 0.7014 0.3535  1 Mn 2.68, 2 Au 2.97
Te6 0.5000 0.8299 0.6216  2 Mn 2.72, 1 Au 2.73
Te7 0.5000 0.2014 0.8535  1 Mn 2.69, 2 Au 2.97
Te8 0.0000 0.6701 0.8784  2 Mn 2.72, 1 Au 2.73

## Properties
Formation energy from raw total energies ... -0.118 eV per atom
Excess energy over the best structure of this formula in the dataset ... 0.086 eV/f.u.



Below is a geometry-optimized MnTe4Au2 structure, with properties calculated at the PBE level.

abc: 8.2327 8.2327 8.2055
angles: 120.10 120.11 90.13
Closest atoms and distances in Å follow each position.
Atoms (fractional coordinates):
Te1 0.8631 0.6222 0.2443  1 Mn 2.60, 3 Au 2.86
Te2 0.8721 0.6131 0.7442  1 Mn 2.60, 3 Au 2.86
Te3 0.3869 0.1278 0.2558  1 Mn 2.60, 3 Au 2.86
Te4 0.3790 0.6193 0.7570  1 Mn 2.60, 3 Au 2.85-2.86
Te5 0.8709 0.1307 0.7429  1 Mn 2.60, 3 Au 2.85-2.86
Te6 0.8693 0.1290 0.2571  1 Mn 2.60, 3 Au 2.85-2.86
Te7 0.3779 0.1370 0.7558  1 Mn 2.60, 3 Au 2.86
Te8 0.3807 0.6210 0.2429  1 Mn 2.60, 3 Au 2.85-2.86
Mn1 0.9995 0.0005 0.0000  4 Te 2.60
Mn2 0.2505 0.7495 0.5000  4 Te 2.60
Au1 0.1250 0.3750 0.7500  6 Te 2.85-2.86
Au2 0.6250 0.8750 0.2500  6 Te 2.85-2.86
Au3 0.6250 0.3750 0.7500  6 Te 2.86
Au4 0.6250 0.3750 0.2500  6 Te 2.86

## Properties
Formation energy from raw total energies ... 0.026 eV per atom



Below is a geometry-optimized MnTeAu3 structure, with properties calculated at the PBE level.

abc: 4.8276 4.8276 4.8276
angles: 90.00 90.00 90.00
Closest atoms and distances in Å follow each position.
Atoms (fractional coordinates):
Au1 0.0000 0.0000 0.5000  2 Mn 2.41
Au2 0.0000 0.5000 0.0000  2 Mn 2.41
Au3 0.5000 0.0000 0.0000  2 Mn 2.41
Te1 0.5000 0.5000 0.5000  12 Au 3.41
Mn1 0.0000 0.0000 0.0000  6 Au 2.41

## Properties
Formation energy from raw total energies ... 0.991 eV per atom
Excess energy over the best structure of this formula in the dataset ... 0.805 eV/f.u.